No. 1
NbV3Bi | PBE | relaxed

Structure (POSCAR):
```
NbV3Bi
1.0
4.979 0.000 0.000
0.000 4.979 0.000
0.000 0.000 4.979
Nb V Bi
1 3 1
Cartesian
0.000 0.000 0.000
0.000 2.489 2.489
2.489 0.000 2.489
2.489 2.489 0.000
2.489 2.489 2.489
```

Values from the calculation:
Energy relative to the elements, meV per atom: 1924
N(E_F), states/eV/cell: 11.13
ρ, g/cm³: 6.12
Crystal system: cubic
Energy, eV for the cell shown: -31.69

***

No. 2
Nb2VZnBi | PBE | relaxed

Structure (POSCAR):
```
Nb2VZnBi
1.0
4.758 0.000 0.000
0.000 4.758 0.000
0.000 0.000 5.055
Nb V Zn Bi
2 1 1 1
Cartesian
0.000 2.379 0.000
2.379 0.000 0.000
0.000 0.000 2.528
2.379 2.379 0.000
2.379 2.379 2.528
```

Values from the calculation:
Energy relative to the elements, meV per atom: 1531
N(E_F), states/eV/cell: 8.42
ρ, g/cm³: 7.42
Crystal system: tetragonal
Energy, eV for the cell shown: -26.76

***

No. 3
NbVZnBi2 | PBE | relaxed

Structure (POSCAR):
```
NbVZnBi2
1.0
5.257 0.000 0.000
0.000 5.257 0.000
0.000 0.000 4.604
Nb V Zn Bi
1 1 1 2
Cartesian
0.000 0.000 0.000
2.628 2.628 0.000
2.628 2.628 2.302
0.000 2.628 2.302
2.628 0.000 2.302
```

Values from the calculation:
Energy relative to the elements, meV per atom: 1249
N(E_F), states/eV/cell: 9.81
ρ, g/cm³: 8.19
Crystal system: tetragonal
Energy, eV for the cell shown: -21.98

***

No. 4
Zr2NbVBi | PBE | relaxed

Structure (POSCAR):
```
Zr2NbVBi
1.0
5.225 0.000 0.000
0.000 5.225 0.000
0.000 0.000 4.594
Zr Nb V Bi
2 1 1 1
Cartesian
0.000 2.612 0.000
2.612 0.000 0.000
0.000 0.000 0.000
0.000 0.000 2.297
2.612 2.612 2.297
```

Values from the calculation:
Energy relative to the elements, meV per atom: 814
N(E_F), states/eV/cell: 6.38
ρ, g/cm³: 7.09
Crystal system: tetragonal
Energy, eV for the cell shown: -36.10

***

No. 5
NbBi3W | PBE | relaxed

Structure (POSCAR):
```
NbBi3W
1.0
5.389 0.000 0.000
0.000 5.389 0.000
0.000 0.000 5.389
Nb Bi W
1 3 1
Cartesian
0.000 0.000 0.000
0.000 2.694 2.694
2.694 0.000 2.694
2.694 2.694 0.000
2.694 2.694 2.694
```

Values from the calculation:
Energy relative to the elements, meV per atom: 1384
N(E_F), states/eV/cell: 2.57
ρ, g/cm³: 9.59
Crystal system: cubic
Energy, eV for the cell shown: -27.74

***

No. 6
Y2NbBi2 | PBE | relaxed

Structure (POSCAR):
```
Y2NbBi2
1.0
7.751 0.000 0.000
0.000 7.751 0.000
0.000 0.000 4.447
Y Nb Bi
4 2 4
Cartesian
1.282 2.593 0.000
2.593 6.469 0.000
5.158 1.282 0.000
6.469 5.158 0.000
0.000 0.000 2.224
3.876 3.876 2.224
1.131 5.007 2.224
2.745 1.131 2.224
5.007 6.620 2.224
6.620 2.745 2.224
```

Values from the calculation:
Energy relative to the elements, meV per atom: -304
N(E_F), states/eV/cell: 11.44
ρ, g/cm³: 8.56
Crystal system: tetragonal
Energy, eV for the cell shown: -64.56

***

No. 7
Y2NbBi | PBE | relaxed

Structure (POSCAR):
```
Y2NbBi
1.0
-4.189 4.189 3.132
4.189 -4.189 3.132
4.189 4.189 -3.132
Y Nb Bi
4 2 2
Cartesian
6.283 1.968 -0.783
1.968 2.094 0.783
-2.094 2.221 2.349
2.221 2.094 3.915
0.000 0.000 0.000
0.000 4.189 1.566
4.189 0.000 1.566
0.000 0.000 3.132
```

Values from the calculation:
Energy relative to the elements, meV per atom: 386
N(E_F), states/eV/cell: 10.46
ρ, g/cm³: 7.25
Crystal system: tetragonal
Energy, eV for the cell shown: -50.67

***

No. 8
Nb3ZnBi | PBE | relaxed

Structure (POSCAR):
```
Nb3ZnBi
1.0
5.160 0.000 0.000
0.000 5.160 0.000
0.000 0.000 5.160
Nb Zn Bi
3 1 1
Cartesian
0.000 0.000 2.580
0.000 2.580 0.000
2.580 0.000 0.000
2.580 2.580 2.580
0.000 0.000 0.000
```

Values from the calculation:
Energy relative to the elements, meV per atom: 1930
N(E_F), states/eV/cell: 8.26
ρ, g/cm³: 6.69
Crystal system: cubic
Energy, eV for the cell shown: -25.71

***

No. 9
Nb3ZnBi | PBE | relaxed

Structure (POSCAR):
```
Nb3ZnBi
1.0
4.786 0.000 0.000
0.000 4.786 0.000
0.000 0.000 4.786
Nb Zn Bi
3 1 1
Cartesian
0.000 0.000 2.393
0.000 2.393 0.000
2.393 0.000 0.000
0.000 0.000 0.000
2.393 2.393 2.393
```

Values from the calculation:
Energy relative to the elements, meV per atom: 984
N(E_F), states/eV/cell: 11.13
ρ, g/cm³: 8.38
Crystal system: cubic
Energy, eV for the cell shown: -30.44

***

No. 10
NbZnBi2 | PBE | relaxed

Structure (POSCAR):
```
NbZnBi2
1.0
-3.290 3.290 6.240
3.290 -3.290 6.240
3.290 3.290 -6.240
Nb Zn Bi
2 2 4
Cartesian
0.000 0.000 0.000
0.000 3.290 3.120
3.290 0.000 3.120
0.000 0.000 6.240
1.645 -1.643 4.680
1.648 1.645 1.560
1.645 4.933 -1.560
1.643 1.645 7.799
```

Values from the calculation:
Energy relative to the elements, meV per atom: 638
N(E_F), states/eV/cell: 7.60
ρ, g/cm³: 7.08
Crystal system: tetragonal
Energy, eV for the cell shown: -33.11

***

No. 11
NbZnBi2 | PBE | relaxed

Structure (POSCAR):
```
NbZnBi2
1.0
1.593 0.920 11.773
-1.593 0.920 11.773
0.000 -1.840 11.773
Nb Zn Bi
1 1 2
Cartesian
0.000 0.000 0.000
0.000 0.000 17.660
0.000 0.000 2.985
0.000 0.000 32.335
```

Values from the calculation:
Energy relative to the elements, meV per atom: 640
N(E_F), states/eV/cell: 3.52
ρ, g/cm³: 9.24
Crystal system: trigonal
Energy, eV for the cell shown: -16.54

***

No. 12
ZrNbBi2 | PBE | relaxed

Structure (POSCAR):
```
ZrNbBi2
1.0
1.669 0.963 10.632
-1.669 0.963 10.632
0.000 -1.927 10.632
Zr Nb Bi
1 1 2
Cartesian
0.000 0.000 0.000
0.000 0.000 15.949
0.000 0.000 3.041
0.000 0.000 28.856
```

Values from the calculation:
Energy relative to the elements, meV per atom: 318
N(E_F), states/eV/cell: 4.63
ρ, g/cm³: 9.75
Crystal system: trigonal
Energy, eV for the cell shown: -25.11

***

Q: Which value of energy relative to the elements does entry 1 give?
A: 1924 meV per atom

***

Q: Look up the energy relative to the elements of the ninth one.
A: 984 meV per atom